(1)
# BaSmCd2, optimized geometry, DFT GGA-PBE
# **VASP energy**: -9.66 eV/cell
# **Spin magnetization**: 0.028 μB per atom
# **ρ**: 6.5 Mg/m³
data_BaSmCd2
_chemical_formula_sum 'Ba1 Sm1 Cd2'
_symmetry_space_group_name_H-M 'P 4/m m m'
_symmetry_Int_Tables_number 123
_symmetry_space_group_name_Hall '-P 4 2'
_cell_length_a 3.984
_cell_length_b 3.984
_cell_length_c 8.192
_cell_angle_alpha 90.00
_cell_angle_beta 90.00
_cell_angle_gamma 90.00
loop_
_atom_site_label
_atom_site_type_symbol
_atom_site_fract_x
_atom_site_fract_y
_atom_site_fract_z
_atom_site_occupancy
Ba1 Ba 0.000 0.000 0.000 1
Sm1 Sm 0.000 0.000 0.500 1
Cd1 Cd 0.500 0.500 0.293 1

(2)
# PmThZnPd, optimized geometry, DFT GGA-PBE
# **VASP energy**: -81.33 eV/cell
# **Spin magnetization**: 0.000 μB per atom
# **ρ**: 9.4 Mg/m³
data_PmThZnPd
_chemical_formula_sum 'Pm4 Th4 Zn4 Pd4'
_symmetry_space_group_name_H-M 'F -4 3 m'
_symmetry_Int_Tables_number 216
_symmetry_space_group_name_Hall 'F -4 2 3'
_cell_length_a 7.285
_cell_length_b 7.285
_cell_length_c 7.285
_cell_angle_alpha 90.00
_cell_angle_beta 90.00
_cell_angle_gamma 90.00
loop_
_atom_site_label
_atom_site_type_symbol
_atom_site_fract_x
_atom_site_fract_y
_atom_site_fract_z
_atom_site_occupancy
Pm1 Pm 0.000 0.000 0.000 1
Th1 Th 0.000 0.000 0.500 1
Zn1 Zn 0.250 0.250 0.250 1
Pd1 Pd 0.250 0.250 0.750 1

(3)
# Th3OsPd, optimized geometry, DFT GGA-PBE
# **VASP energy**: -81.84 eV/cell
# **Spin magnetization**: 0.000 μB per atom
# **ρ**: 12.4 Mg/m³
data_Th3OsPd
_chemical_formula_sum 'Th6 Os2 Pd2'
_symmetry_space_group_name_H-M 'P -1'
_symmetry_Int_Tables_number 2
_symmetry_space_group_name_Hall '-P 1'
_cell_length_a 4.005
_cell_length_b 6.488
_cell_length_c 10.996
_cell_angle_alpha 93.57
_cell_angle_beta 100.22
_cell_angle_gamma 107.96
loop_
_atom_site_label
_atom_site_type_symbol
_atom_site_fract_x
_atom_site_fract_y
_atom_site_fract_z
_atom_site_occupancy
Th1 Th 0.004 0.264 0.242 1
Th2 Th 0.192 0.788 0.092 1
Th3 Th 0.198 0.305 0.591 1
Os1 Os 0.436 0.512 0.867 1
Pd1 Pd 0.464 0.051 0.378 1

(4)
# LiBAuI2, optimized geometry, DFT GGA-PBE
# **ΔE_f (raw)**: 196 meV/atom
# **VASP energy**: -13.99 eV/cell
# **Spin magnetization**: 0.000 μB per atom
# **ρ**: 5.8 Mg/m³
data_LiBAuI2
_chemical_formula_sum 'Li1 B1 Au1 I2'
_symmetry_space_group_name_H-M 'P 4/m m m'
_symmetry_Int_Tables_number 123
_symmetry_space_group_name_Hall '-P 4 2'
_cell_length_a 5.636
_cell_length_b 5.636
_cell_length_c 4.201
_cell_angle_alpha 90.00
_cell_angle_beta 90.00
_cell_angle_gamma 90.00
loop_
_atom_site_label
_atom_site_type_symbol
_atom_site_fract_x
_atom_site_fract_y
_atom_site_fract_z
_atom_site_occupancy
Li1 Li 0.000 0.000 0.000 1
B1 B 0.500 0.500 0.500 1
Au1 Au 0.500 0.500 0.000 1
I1 I 0.000 0.500 0.500 1

(5)
# Ca4CeSm3Te8, optimized geometry, DFT GGA-PBE
# **ΔE_f (raw)**: -1489 meV/atom
# **VASP energy**: -231.15 eV/cell
# **Spin magnetization**: 0.092 μB per atom
# **ρ**: 5.8 Mg/m³
data_Ca4CeSm3Te8
_chemical_formula_sum 'Ca12 Ce3 Sm9 Te24'
_symmetry_space_group_name_H-M 'R -3 m'
_symmetry_Int_Tables_number 166
_symmetry_space_group_name_Hall '-R 3 2"'
_cell_length_a 8.8819
_cell_length_b 8.8819
_cell_length_c 22.3486
_cell_angle_alpha 90.00
_cell_angle_beta 90.00
_cell_angle_gamma 120.00
loop_
_atom_site_label
_atom_site_type_symbol
_atom_site_fract_x
_atom_site_fract_y
_atom_site_fract_z
_atom_site_occupancy
Ca1 Ca 0.0000 0.0000 0.0000 1
Ca2 Ca 0.0000 0.5000 0.0000 1
Ce1 Ce 0.0000 0.0000 0.5000 1
Sm1 Sm 0.0000 0.5000 0.5000 1
Te1 Te 0.0000 0.0000 0.2504 1
Te2 Te 0.0023 0.5012 0.7490 1

(6)
# KCdNi, optimized geometry, DFT GGA-PBE
# **VASP energy**: -13.90 eV/cell
# **Spin magnetization**: 0.000 μB per atom
# **ρ**: 4.4 Mg/m³
data_KCdNi
_chemical_formula_sum 'K2 Cd2 Ni2'
_symmetry_space_group_name_H-M 'I 4 m m'
_symmetry_Int_Tables_number 107
_symmetry_space_group_name_Hall 'I 4 -2'
_cell_length_a 3.606
_cell_length_b 3.606
_cell_length_c 12.090
_cell_angle_alpha 90.00
_cell_angle_beta 90.00
_cell_angle_gamma 90.00
loop_
_atom_site_label
_atom_site_type_symbol
_atom_site_fract_x
_atom_site_fract_y
_atom_site_fract_z
_atom_site_occupancy
K1 K 0.000 0.000 0.000 1
Cd1 Cd 0.000 0.000 0.272 1
Ni1 Ni 0.000 0.000 0.727 1

(7)
# Y2CoIr2, optimized geometry, DFT GGA-PBE
# **VASP energy**: -79.86 eV/cell
# **Spin magnetization**: 0.319 μB per atom
# **ρ**: 10.5 Mg/m³
data_Y2CoIr2
_chemical_formula_sum 'Y4 Co2 Ir4'
_symmetry_space_group_name_H-M 'P 4/m b m'
_symmetry_Int_Tables_number 127
_symmetry_space_group_name_Hall '-P 4 2ab'
_cell_length_a 6.713
_cell_length_b 6.713
_cell_length_c 4.345
_cell_angle_alpha 90.00
_cell_angle_beta 90.00
_cell_angle_gamma 90.00
loop_
_atom_site_label
_atom_site_type_symbol
_atom_site_fract_x
_atom_site_fract_y
_atom_site_fract_z
_atom_site_occupancy
Y1 Y 0.177 0.323 0.000 1
Co1 Co 0.000 0.000 0.500 1
Ir1 Ir 0.137 0.637 0.500 1

(8)
# Rb2TbBr6, optimized geometry, DFT GGA-PBE
# **ΔE_f (raw)**: -1505 meV/atom
# **VASP energy**: -60.30 eV/cell
# **Spin magnetization**: 0.117 μB per atom
# **ρ**: 4.4 Mg/m³
data_Rb2TbBr6
_chemical_formula_sum 'Rb4 Tb2 Br12'
_symmetry_space_group_name_H-M 'A m m 2'
_symmetry_Int_Tables_number 38
_symmetry_space_group_name_Hall 'A 2 -2'
_cell_length_a 4.547
_cell_length_b 15.281
_cell_length_c 8.802
_cell_angle_alpha 90.00
_cell_angle_beta 90.00
_cell_angle_gamma 90.00
loop_
_atom_site_label
_atom_site_type_symbol
_atom_site_fract_x
_atom_site_fract_y
_atom_site_fract_z
_atom_site_occupancy
Rb1 Rb 0.000 0.167 0.000 1
Tb1 Tb 0.500 0.000 0.501 1
Br1 Br 0.000 0.000 0.731 1
Br2 Br 0.000 0.114 0.386 1
Br3 Br 0.500 0.000 0.156 1
Br4 Br 0.500 0.173 0.672 1

(9)
# BaCrAs2Se, optimized geometry, DFT GGA-PBE
# **ΔE_f (raw)**: 1170 meV/atom
# **VASP energy**: -18.48 eV/cell
# **Spin magnetization**: 0.490 μB per atom
# **ρ**: 3.3 Mg/m³
data_BaCrAs2Se
_chemical_formula_sum 'Ba1 Cr1 As2 Se1'
_symmetry_space_group_name_H-M 'P 4/m m m'
_symmetry_Int_Tables_number 123
_symmetry_space_group_name_Hall '-P 4 2'
_cell_length_a 5.920
_cell_length_b 5.920
_cell_length_c 5.957
_cell_angle_alpha 90.00
_cell_angle_beta 90.00
_cell_angle_gamma 90.00
loop_
_atom_site_label
_atom_site_type_symbol
_atom_site_fract_x
_atom_site_fract_y
_atom_site_fract_z
_atom_site_occupancy
Ba1 Ba 0.000 0.000 0.000 1
Cr1 Cr 0.500 0.500 0.500 1
As1 As 0.000 0.500 0.000 1
Se1 Se 0.000 0.000 0.500 1

(10)
# SrYPb4, optimized geometry, DFT GGA-PBE
# **VASP energy**: -96.45 eV/cell
# **Spin magnetization**: 0.000 μB per atom
# **ρ**: 8.5 Mg/m³
data_SrYPb4
_chemical_formula_sum 'Sr4 Y4 Pb16'
_symmetry_space_group_name_H-M 'F -4 3 m'
_symmetry_Int_Tables_number 216
_symmetry_space_group_name_Hall 'F -4 2 3'
_cell_length_a 9.241
_cell_length_b 9.241
_cell_length_c 9.241
_cell_angle_alpha 90.00
_cell_angle_beta 90.00
_cell_angle_gamma 90.00
loop_
_atom_site_label
_atom_site_type_symbol
_atom_site_fract_x
_atom_site_fract_y
_atom_site_fract_z
_atom_site_occupancy
Sr1 Sr 0.000 0.000 0.000 1
Y1 Y 0.250 0.250 0.750 1
Pb1 Pb 0.124 0.124 0.376 1

(11)
# Tb4Sm2Te3N2, optimized geometry, DFT GGA-PBE
# **ΔE_f (raw)**: -1181 meV/atom
# **VASP energy**: -134.05 eV/cell
# **Spin magnetization**: 0.000 μB per atom
# **ρ**: 8.1 Mg/m³
data_Tb4Sm2Te3N2
_chemical_formula_sum 'Tb8 Sm4 Te6 N4'
_symmetry_space_group_name_H-M 'I 4/m m m'
_symmetry_Int_Tables_number 139
_symmetry_space_group_name_Hall '-I 4 2'
_cell_length_a 4.611
_cell_length_b 4.611
_cell_length_c 25.873
_cell_angle_alpha 90.00
_cell_angle_beta 90.00
_cell_angle_gamma 90.00
loop_
_atom_site_label
_atom_site_type_symbol
_atom_site_fract_x
_atom_site_fract_y
_atom_site_fract_z
_atom_site_occupancy
Tb1 Tb 0.000 0.500 0.085 1
Sm1 Sm 0.000 0.000 0.196 1
Te1 Te 0.000 0.000 0.323 1
Te2 Te 0.000 0.000 0.500 1
N1 N 0.000 0.000 0.104 1

(12)
# LiTiAl, optimized geometry, DFT GGA-PBE
# **VASP energy**: -27.31 eV/cell
# **Spin magnetization**: 0.000 μB per atom
# **ρ**: 2.8 Mg/m³
data_LiTiAl
_chemical_formula_sum 'Li2 Ti2 Al2'
_symmetry_space_group_name_H-M 'P -1'
_symmetry_Int_Tables_number 2
_symmetry_space_group_name_Hall '-P 1'
_cell_length_a 2.807
_cell_length_b 4.910
_cell_length_c 7.152
_cell_angle_alpha 89.62
_cell_angle_beta 89.87
_cell_angle_gamma 89.92
loop_
_atom_site_label
_atom_site_type_symbol
_atom_site_fract_x
_atom_site_fract_y
_atom_site_fract_z
_atom_site_occupancy
Li1 Li 0.249 0.080 0.338 1
Ti1 Ti 0.250 0.732 0.010 1
Al1 Al 0.251 0.425 0.663 1